[1]
Tb4SmS4 PBE-GGA optimized geometry; volume = 23.57 A^3/atom; DFT total energy = -6.1947 eV/atom; magnetic moment = 0.00 μB/atom
1.0
6.521 -1.962 0.000
6.521 1.962 0.000
-4.731 0.000 8.291
Tb Sm S
4 1 4
direct
0.099 0.099 0.396
0.296 0.296 0.202
0.704 0.704 0.798
0.901 0.901 0.604
0.500 0.500 0.000
0.104 0.104 0.898
0.299 0.299 0.693
0.701 0.701 0.307
0.896 0.896 0.102


[2]
KCePm2 PBE-GGA optimized geometry; volume = 41.72 A^3/atom; magnetic moment = 0.00 μB/atom; ΔH_f (0 K) = 716 meV per atom
1.0
2.131 1.230 10.611
-2.131 1.230 10.611
0.000 -2.460 10.611
K Ce Pm
1 1 2
direct
0.000 0.000 0.000
0.500 0.500 0.500
0.119 0.119 0.119
0.881 0.881 0.881


[3]
Ti2MnGeBr PBE-GGA optimized geometry; volume = 19.73 A^3/atom; DFT total energy = -5.6249 eV/atom; magnetic moment = 0.34 μB/atom
1.0
4.699 0.000 0.000
0.000 4.699 0.000
0.000 0.000 4.467
Ti Mn Ge Br
2 1 1 1
direct
0.000 0.500 0.000
0.500 0.000 0.000
0.000 0.000 0.500
0.500 0.500 0.500
0.000 0.000 0.000


[4]
Zn2MoAs PBE-GGA optimized geometry; volume = 15.24 A^3/atom; magnetic moment = 0.00 μB/atom; ΔH_f (0 K) = 101 meV per atom
1.0
-1.907 1.907 4.193
1.907 -1.907 4.193
1.907 1.907 -4.193
Zn Mo As
2 1 1
direct
0.000 0.000 0.000
0.750 0.250 0.500
0.500 0.500 0.000
0.250 0.750 0.500